(1)
! Ta4NbPt (PBE-GGA, optimized geometry); values from VASP
&SYSTEM
  ibrav = 0, nat = 6, ntyp = 3
/
ATOMIC_SPECIES
Ta 180.95 Ta.upf
Nb 92.91 Nb.upf
Pt 195.08 Pt.upf
ATOMIC_POSITIONS angstrom
Ta 0.000 2.220 1.572
Ta 0.000 2.220 4.767
Ta 2.220 0.000 1.572
Ta 2.220 0.000 4.767
Nb 0.000 0.000 0.000
Pt 2.220 2.220 3.170
CELL_PARAMETERS angstrom
4.439 0.000 0.000
0.000 4.439 0.000
0.000 0.000 6.339
! Formation energy from the elements: 456 meV/atom
! Space group: P4/mmm

---

(2)
! Ta4Nb3Pt (PBE-GGA, optimized geometry); values from VASP
&SYSTEM
  ibrav = 0, nat = 8, ntyp = 3
/
ATOMIC_SPECIES
Ta 180.95 Ta.upf
Nb 92.91 Nb.upf
Pt 195.08 Pt.upf
ATOMIC_POSITIONS angstrom
Ta 1.626 1.626 0.000
Ta 1.626 4.906 0.000
Ta 4.906 1.626 0.000
Ta 4.906 4.906 0.000
Nb 0.000 0.000 1.668
Nb 0.000 3.266 1.668
Nb 3.266 0.000 1.668
Pt 3.266 3.266 1.668
CELL_PARAMETERS angstrom
6.532 0.000 0.000
0.000 6.532 0.000
0.000 0.000 3.337
! Formation energy from the elements: -243 meV/atom
! Space group: P4/mmm

---

(3)
! Ta5Nb6Pt (PBE-GGA, optimized geometry); values from VASP
&SYSTEM
  ibrav = 0, nat = 12, ntyp = 3
/
ATOMIC_SPECIES
Ta 180.95 Ta.upf
Nb 92.91 Nb.upf
Pt 195.08 Pt.upf
ATOMIC_POSITIONS angstrom
Ta 0.000 0.000 0.000
Ta 2.689 4.638 1.918
Ta 4.048 2.316 0.000
Ta 4.048 -2.316 0.000
Ta 2.689 -4.638 1.918
Nb 1.338 2.318 0.953
Nb -0.023 0.000 2.872
Nb 1.338 -2.318 0.953
Nb 4.039 2.318 2.882
Nb 5.401 0.000 0.964
Nb 4.039 -2.318 2.882
Pt 2.689 0.000 1.918
CELL_PARAMETERS angstrom
4.048 -6.933 0.000
4.048 6.933 0.000
-2.718 0.000 3.835
! Formation energy from the elements: -144 meV/atom
! Space group: C2/m

---

Ordered total moment results: 0.00 0.00 0.00; unit μB per cell.
Ordered DFT total energy results: -60.78 -85.60 -127.45; unit eV/cell.